[1]
ThPaCo2Ge2 | PBE-GGA | relaxed

a = 4.1865 Å, b = 4.1865 Å, c = 7.4672 Å
α = 90.00°, β = 90.00°, γ = 120.00°
Last column: nearest neighbours and their distance in Å.
Atoms (fractional coordinates):
1 Th 0.0000 0.0000 0.0000  6 Ge 3.10, 6 Co 3.18
2 Pa 0.0000 0.0000 0.5000  6 Co 2.94, 6 Ge 3.01
3 Co 0.6667 0.3333 0.2764  3 Ge 2.42
4 Co 0.3333 0.6667 0.7236  3 Ge 2.42
5 Ge 0.6667 0.3333 0.7410  3 Co 2.42
6 Ge 0.3333 0.6667 0.2590  3 Co 2.42

Calculated values
Calculated formation energy ... -617 meV/atom
Magnetic moment ... 0.0 Bohr magnetons per cell



[2]
TlRe2Mo | PBE-GGA | relaxed

a = 5.0527 Å, b = 5.0527 Å, c = 5.0527 Å
α = 133.58°, β = 133.58°, γ = 67.75°
Last column: nearest neighbours and their distance in Å.
Atoms (fractional coordinates):
1 Mo 0.7500 0.2500 0.5000  8 Re 2.82-2.89, 4 Tl 2.89
2 Re 0.0000 0.0000 0.0000  4 Tl 2.82, 4 Re 2.89, 4 Mo 2.89
3 Re 0.2500 0.7500 0.5000  4 Mo 2.82, 4 Tl 2.89, 4 Re 2.89
4 Tl 0.5000 0.5000 0.0000  8 Re 2.82-2.89, 4 Mo 2.89

Calculated values
Calculated formation energy ... 801 meV/atom
Magnetic moment ... 0.0 Bohr magnetons per cell



[3]
Ac2NpSe5 | PBE-GGA | relaxed

a = 4.4050 Å, b = 8.2863 Å, c = 12.6081 Å
α = 90.00°, β = 90.00°, γ = 90.00°
Last column: nearest neighbours and their distance in Å.
Atoms (fractional coordinates):
1 Ac 0.5000 0.5512 0.1721  8 Se 3.12-3.31
2 Ac 0.5000 0.4488 0.8279  8 Se 3.12-3.31
3 Ac 0.5000 0.9488 0.6721  8 Se 3.12-3.31
4 Ac 0.5000 0.0512 0.3279  8 Se 3.12-3.31
5 Np 0.0000 0.5000 0.5000  6 Se 2.84-2.87
6 Np 0.0000 0.0000 0.0000  6 Se 2.84-2.87
7 Se 0.0000 0.0000 0.5000  4 Ac 3.12
8 Se 0.0000 0.5000 0.0000  4 Ac 3.12
9 Se 0.0000 0.8396 0.2015  1 Np 2.87
10 Se 0.0000 0.1604 0.7985  1 Np 2.87
11 Se 0.0000 0.6604 0.7015  1 Np 2.87
12 Se 0.0000 0.3396 0.2985  1 Np 2.87
13 Se 0.5000 0.6757 0.4173  2 Np 2.84
14 Se 0.5000 0.3243 0.5827  2 Np 2.84
15 Se 0.5000 0.8243 0.9173  2 Np 2.84
16 Se 0.5000 0.1757 0.0827  2 Np 2.84

Calculated values
Formation energy (no corrections) ... -1.691 eV per atom
Magnetic moment ... 6.0 Bohr magnetons per cell



[4]
Dy2In8Co | PBE-GGA | relaxed

a = 4.5925 Å, b = 4.5925 Å, c = 12.1678 Å
α = 90.00°, β = 90.00°, γ = 90.00°
Last column: nearest neighbours and their distance in Å.
Atoms (fractional coordinates):
1 Dy 0.0000 0.0000 0.6933  12 In 3.24-3.29
2 Dy 0.0000 0.0000 0.3067  12 In 3.24-3.29
3 In 0.5000 0.0000 0.5000  8 In 3.25-3.27, 4 Dy 3.29
4 In 0.0000 0.5000 0.5000  8 In 3.25-3.27, 4 Dy 3.29
5 In 0.5000 0.5000 0.6917  4 Dy 3.25, 8 In 3.25-3.27
6 In 0.5000 0.5000 0.3083  4 Dy 3.25, 8 In 3.25-3.27
7 In 0.5000 0.0000 0.8812  2 Co 2.71, 1 In 2.89
8 In 0.0000 0.5000 0.8812  2 Co 2.71, 1 In 2.89
9 In 0.5000 0.0000 0.1188  2 Co 2.71, 1 In 2.89
10 In 0.0000 0.5000 0.1188  2 Co 2.71, 1 In 2.89
11 Co 0.0000 0.0000 0.0000  8 In 2.71

Calculated values
Calculated formation energy ... -300 meV/atom
Magnetic moment ... 0.0 Bohr magnetons per cell



[5]
TmPu2MnS5 | PBE-GGA | relaxed

a = 3.8591 Å, b = 8.3938 Å, c = 11.8331 Å
α = 90.00°, β = 90.00°, γ = 103.29°
Last column: nearest neighbours and their distance in Å.
Atoms (fractional coordinates):
1 Tm 0.8010 0.6020 0.5037  6 S 2.63-2.70
2 Tm 0.1990 0.3980 0.0037  6 S 2.63-2.70
3 Pu 0.8724 0.7448 0.8021  8 S 2.83-3.04
4 Pu 0.1105 0.2209 0.6865  8 S 2.88-3.00
5 Pu 0.1276 0.2552 0.3021  8 S 2.83-3.04
6 Pu 0.8895 0.7791 0.1865  8 S 2.88-3.00
7 Mn 0.5068 0.0137 0.9733  4 S 2.31-2.39
8 Mn 0.4932 0.9863 0.4733  4 S 2.31-2.39
9 S 0.3617 0.7234 0.9995  1 Mn 2.39, 1 Tm 2.66
10 S 0.6902 0.3803 0.8466  2 Tm 2.68, 2 Pu 3.00
11 S 0.4979 0.9958 0.7784  1 Mn 2.31
12 S 0.2885 0.5771 0.6622  2 Tm 2.70, 3 Pu 2.89-2.92
13 S 0.9545 0.9091 0.5716  2 Mn 2.34
14 S 0.6383 0.2766 0.4995  1 Mn 2.39, 1 Tm 2.66
15 S 0.3098 0.6197 0.3466  2 Tm 2.68, 2 Pu 3.00
16 S 0.5021 0.0042 0.2784  1 Mn 2.31
17 S 0.7115 0.4229 0.1622  2 Tm 2.70, 3 Pu 2.89-2.92
18 S 0.0455 0.0909 0.0716  2 Mn 2.34

Calculated values
Formation energy (no corrections) ... -1.545 eV per atom
Magnetic moment ... 12.1 Bohr magnetons per cell



[6]
RbAcCuF6 | PBE-GGA | relaxed

a = 8.1368 Å, b = 8.0126 Å, c = 7.6368 Å
α = 121.64°, β = 122.19°, γ = 90.00°
Last column: nearest neighbours and their distance in Å.
Atoms (fractional coordinates):
1 Rb 0.8212 0.5712 0.6424  9 F 2.94-3.25
2 Rb 0.1788 0.4288 0.3576  9 F 2.94-3.25
3 Ac 0.5000 0.0000 0.5000  8 F 2.48-2.58
4 Ac 0.0000 0.0000 0.5000  8 F 2.48-2.58
5 Cu 0.5000 0.5000 0.0000  4 F 1.96
6 Cu 0.5000 0.0000 0.0000  4 F 1.96
7 F 0.6058 0.8558 0.2117  2 Cu 2.27, 2 Ac 2.51
8 F 0.8892 0.1392 0.7784  2 Ac 2.48
9 F 0.8063 0.1579 0.2661  1 Cu 1.96
10 F 0.4598 0.6082 0.2661  1 Cu 1.96
11 F 0.4598 0.1579 0.2661  1 Cu 1.96
12 F 0.8063 0.6082 0.2661  1 Cu 1.96
13 F 0.3942 0.1442 0.7883  2 Cu 2.27, 2 Ac 2.51
14 F 0.1108 0.8608 0.2216  2 Ac 2.48
15 F 0.1937 0.8421 0.7339  1 Cu 1.96
16 F 0.5402 0.3918 0.7339  1 Cu 1.96
17 F 0.5402 0.8421 0.7339  1 Cu 1.96
18 F 0.1937 0.3918 0.7339  1 Cu 1.96

Calculated values
Formation energy (no corrections) ... -2.969 eV per atom
Magnetic moment ... 2.0 Bohr magnetons per cell



[7]
Nd2Dy2Sb3 | PBE-GGA | relaxed

a = 8.0995 Å, b = 8.0995 Å, c = 8.0995 Å
α = 109.47°, β = 109.47°, γ = 109.47°
Last column: nearest neighbours and their distance in Å.
Atoms (fractional coordinates):
1 Nd 0.5000 0.3517 0.5000  6 Sb 3.14-3.39
2 Nd 0.0000 0.0000 0.3517  6 Sb 3.14-3.39
3 Nd 0.6483 0.1483 0.1483  6 Sb 3.14-3.39
4 Nd 0.8517 0.5000 0.0000  6 Sb 3.14-3.39
5 Dy 0.0000 0.0000 0.8615  6 Sb 3.11-3.33
6 Dy 0.5000 0.8615 0.5000  6 Sb 3.11-3.33
7 Dy 0.1385 0.6385 0.6385  6 Sb 3.11-3.33
8 Dy 0.3615 0.5000 0.0000  6 Sb 3.11-3.33
9 Sb 0.7500 0.6322 0.3822  4 Dy 3.11-3.33, 4 Nd 3.14-3.39
10 Sb 0.2500 0.8678 0.1178  4 Dy 3.11-3.33, 4 Nd 3.14-3.39
11 Sb 0.6178 0.7500 0.8678  4 Dy 3.11-3.33, 4 Nd 3.14-3.39
12 Sb 0.8822 0.2500 0.6322  4 Dy 3.11-3.33, 4 Nd 3.14-3.39
13 Sb 0.3678 0.1178 0.7500  4 Dy 3.11-3.33, 4 Nd 3.14-3.39
14 Sb 0.1322 0.3822 0.2500  4 Dy 3.11-3.33, 4 Nd 3.14-3.39

Calculated values
Formation energy (no corrections) ... -1.018 eV per atom
Magnetic moment ... 0.0 Bohr magnetons per cell



[8]
CeErHfMg | PBE-GGA | relaxed

a = 5.2687 Å, b = 5.2687 Å, c = 5.2687 Å
α = 60.00°, β = 60.00°, γ = 60.00°
Last column: nearest neighbours and their distance in Å.
Atoms (fractional coordinates):
1 Mg 0.0000 0.0000 0.0000  4 Ce 3.23, 4 Er 3.23
2 Hf 0.5000 0.5000 0.5000  4 Er 3.23, 4 Ce 3.23
3 Ce 0.2500 0.2500 0.2500  4 Hf 3.23, 4 Mg 3.23
4 Er 0.7500 0.7500 0.7500  4 Mg 3.23, 4 Hf 3.23

Calculated values
Calculated formation energy ... 162 meV/atom
Magnetic moment ... 0.8 Bohr magnetons per cell